Below is CaCdGe2S6 after structural relaxation, with properties calculated at the GGA-PBE level.

It has space group C2/c (No. 15), with a = 12.8119 Å, b = 12.1385 Å, c = 6.7648 Å, α = 90.00°, β = 108.95° and γ = 90.00°. The distinct sites, in fractional coordinates, are Ca at (0.0000, 0.1153, 0.2500), Cd at (0.0000, 0.2574, 0.7500), Ge at (0.2016, 0.4238, 0.2323), S at (0.1157, 0.0754, 0.6685), S at (0.1289, 0.4400, 0.4988) and S at (0.1367, 0.2586, 0.1084).

Its density of states at the Fermi level is 0.00 states/eV per atom. The raw formation energy is -0.69 eV/atom.